Crystalline LiEuDyZn at its relaxed geometry, computed with GGA-PBE.

Results
- SG = F-43m (216)
- energy relative to the elements (eV per formula unit) = -0.26
- crystal system = cubic

Unit cell a=5.253 b=5.253 c=5.253 alpha=60.00 beta=60.00 gamma=60.00
Positions (direct):
Li (0.000, 0.000, 0.000)
Eu (0.750, 0.750, 0.750)
Dy (0.250, 0.250, 0.250)
Zn (0.500, 0.500, 0.500)


Crystalline Eu2DyLu at its relaxed geometry, computed with GGA-PBE.

Results
- SG = Fm-3m (225)
- energy relative to the elements (eV per formula unit) = 0.70
- crystal system = cubic
- ΔE to the lowest computed polymorph (eV/atom) = 0.043

Unit cell a=5.803 b=5.803 c=5.803 alpha=60.00 beta=60.00 gamma=60.00
Positions (direct):
Eu (0.250, 0.250, 0.250)
Eu (0.750, 0.750, 0.750)
Dy (0.000, 0.000, 0.000)
Lu (0.500, 0.500, 0.500)


Crystalline Eu2DyLu at its relaxed geometry, computed with GGA-PBE.

Results
- SG = P4/mmm (123)
- energy relative to the elements (eV per formula unit) = 0.54
- crystal system = tetragonal
- ΔE to the lowest computed polymorph (eV/atom) = 0.002

Unit cell a=5.135 b=5.135 c=5.236 alpha=90.00 beta=90.00 gamma=90.00
Positions (direct):
Eu (0.000, 0.500, 0.000)
Eu (0.500, 0.000, 0.000)
Dy (0.000, 0.000, 0.500)
Lu (0.500, 0.500, 0.500)


Crystalline EuDyLu at its relaxed geometry, computed with GGA-PBE.

Results
- SG = I4mm (107)
- energy relative to the elements (eV per formula unit) = 0.22
- crystal system = tetragonal
- ΔE to the lowest computed polymorph (eV/atom) = 0.003

Unit cell a=8.063 b=8.063 c=8.063 alpha=154.12 beta=154.12 gamma=36.92
Positions (direct):
Eu (0.000, 0.000, 0.000)
Dy (0.677, 0.677, 0.000)
Lu (0.326, 0.326, 0.000)


Crystalline EuDyLu at its relaxed geometry, computed with GGA-PBE.

Results
- SG = P3m1 (156)
- energy relative to the elements (eV per formula unit) = 0.21
- crystal system = trigonal
- ΔE to the lowest computed polymorph (eV/atom) = 0.000

Unit cell a=3.601 b=3.601 c=8.824 alpha=90.00 beta=90.00 gamma=120.00
Positions (direct):
Eu (0.000, 0.000, 0.000)
Dy (0.667, 0.333, 0.350)
Lu (0.333, 0.667, 0.658)


Crystalline Eu2DyLu at its relaxed geometry, computed with GGA-PBE.

Results
- SG = P4/mmm (123)
- energy relative to the elements (eV per formula unit) = 0.53
- crystal system = tetragonal
- ΔE to the lowest computed polymorph (eV/atom) = 0.000

Unit cell a=3.624 b=3.624 c=10.510 alpha=90.00 beta=90.00 gamma=90.00
Positions (direct):
Eu (0.000, 0.000, 0.247)
Eu (0.000, 0.000, 0.753)
Dy (0.500, 0.500, 0.500)
Lu (0.500, 0.500, 0.000)


Crystalline EuDyLuMg at its relaxed geometry, computed with GGA-PBE.

Results
- SG = F-43m (216)
- energy relative to the elements (eV per formula unit) = 0.26
- crystal system = cubic

Unit cell a=5.561 b=5.561 c=5.561 alpha=60.00 beta=60.00 gamma=60.00
Positions (direct):
Eu (0.000, 0.000, 0.000)
Dy (0.500, 0.500, 0.500)
Lu (0.750, 0.750, 0.750)
Mg (0.250, 0.250, 0.250)


Crystalline PrEuDyLu at its relaxed geometry, computed with GGA-PBE.

Results
- SG = F-43m (216)
- energy relative to the elements (eV per formula unit) = 0.57
- crystal system = cubic

Unit cell a=5.778 b=5.778 c=5.778 alpha=60.00 beta=60.00 gamma=60.00
Positions (direct):
Pr (0.000, 0.000, 0.000)
Eu (0.250, 0.250, 0.250)
Dy (0.500, 0.500, 0.500)
Lu (0.750, 0.750, 0.750)


no.,N(E_F) (states/eV/f.u.)
1,3.91
2,5.19
3,5.40
4,4.20
5,3.74
6,5.20
7,3.00
8,6.32